NbCoTe2 after structural relaxation, computed with PBE.

a = 8.248 Å, b = 6.337 Å, c = 7.832 Å
α = 90.00°, β = 117.21°, γ = 90.00°
Positions (direct):
Nb1 0.012 0.014 0.303
Nb2 0.012 0.486 0.803
Nb3 0.988 0.514 0.197
Nb4 0.988 0.986 0.697
Co1 0.115 0.645 0.560
Co2 0.115 0.855 0.060
Co3 0.885 0.145 0.940
Co4 0.885 0.355 0.440
Te1 0.227 0.243 0.132
Te2 0.227 0.257 0.632
Te3 0.320 0.749 0.409
Te4 0.320 0.751 0.909
Te5 0.680 0.249 0.091
Te6 0.680 0.251 0.591
Te7 0.773 0.743 0.368
Te8 0.773 0.757 0.868

Summary:
Space-group type   P2_1/c, No. 14
Energy above the most stable polymorph in this dataset   0 meV/atom
Energy   -6.25 eV/atom